## PmFeCuSb (PBE-GGA)

Data for PmFeCuSb after structural relaxation.

Computed properties:
E_form (uncorrected) in eV per atom: -0.0559
Size of the total moment in μB/f.u.: 1.78
Uncorrected energy in Ha/atom: -0.199
N(E_F) in states/eV per atom: 1.04

Structure (POSCAR):
```
PmFeCuSb
1.0
4.735 0.000 0.000
2.368 4.101 0.000
2.368 1.367 3.866
Sb Pm Fe Cu
1 1 1 1
Direct
0.000 0.000 0.000 Sb
0.500 0.500 0.500 Pm
0.250 0.250 0.250 Fe
0.750 0.750 0.750 Cu
```